First-principles (GGA-PBE) data for a relaxed structure of YBeW3, as listed in the Alexandria database.

Structure (POSCAR):
```
YBeW3
1.0
4.807 0.000 0.000
0.000 4.807 0.000
0.000 0.000 4.807
Y Be W
1 1 3
Direct
0.000 0.000 0.000
0.500 0.500 0.500
0.000 0.000 0.500
0.000 0.500 0.000
0.500 0.000 0.000
```

- formation energy (kJ per mole of atoms) = 324.0
- final energy (Ry/atom) = -0.4742